Record 1
Below is a geometry-optimized BeBiIrPd2 structure, with properties calculated at the GGA-PBE level.

As for the energy of formation: 0.01 eV per atom. The calculation puts the raw total energy at -5.356 eV per atom.

The space group is P4/mmm (No. 123) and the conventional cell measures 4.376, 4.376 and 4.336 Å, with angles of 90.00, 90.00 and 90.00 degrees. Symmetry generates all atoms from Be at (0.000, 0.000, 0.000), Bi at (0.500, 0.500, 0.500), Ir at (0.000, 0.000, 0.500) and Pd at (0.000, 0.500, 0.000).

Record 2
Below is a geometry-optimized Rb4H5Rh structure, with properties calculated at the GGA-PBE level.

The calculation puts the raw total energy at -2.913 eV per atom.

The space group is I4 (No. 79) and the conventional cell measures 8.808, 8.808 and 5.880 Å, with angles of 90.00, 90.00 and 90.00 degrees. Symmetry generates all atoms from Rb at (0.123, 0.276, 0.000), H at (0.000, 0.000, 0.186), H at (0.048, 0.188, 0.487) and Rh at (0.000, 0.000, 0.470).

no.,magnetization (μB/f.u.)
1,0.00
2,0.19